Compound: Ba4Li2Ag5
Source: the Alexandria database
Functional: PBE
Structure: relaxed

a b c (Å): 10.595 20.531 6.431
angles (deg): 90.00 90.00 90.00
Space group Ibam (No. 72)
Symmetry-distinct sites (fractional):
Ba (0.122, 0.152, 0.000) (multiplicity 8)
Ba (0.213, 0.438, 0.000) (multiplicity 8)
Li (0.000, 0.302, 0.250) (multiplicity 8)
Ag (0.000, 0.000, 0.250) (multiplicity 4)
Ag (0.089, 0.403, 0.500) (multiplicity 8)
Ag (0.174, 0.224, 0.500) (multiplicity 8)

Summary:
Energy of formation from the pure elements in meV per atom: -147
DOS(E_F) in states/eV per atom: 0.567
Calculated volume in Å³ per atom: 31.8
Size of the total moment in μB/f.u.: 0.00

Compound: Ba2Li6Ag3
Source: the Alexandria database
Functional: PBE
Structure: relaxed

a b c (Å): 8.6016 8.6016 4.5058
angles (deg): 90.00 90.00 120.00
Space group P-62m (No. 189)
Symmetry-distinct sites (fractional):
Ba (0.3333, 0.6667, 0.0000) (multiplicity 2)
Li (0.0000, 0.1963, 0.0000) (multiplicity 3)
Li (0.0000, 0.7421, 0.5000) (multiplicity 3)
Ag (0.0000, 0.3770, 0.5000) (multiplicity 3)

Summary:
Energy of formation from the pure elements in meV per atom: -118
DOS(E_F) in states/eV per atom: 0.451
Calculated volume in Å³ per atom: 26.2
Size of the total moment in μB/f.u.: 0.00

Compound: BaLi3Ag2
Source: the Alexandria database
Functional: PBE
Structure: relaxed

a b c (Å): 10.6423 10.6423 4.4533
angles (deg): 90.00 90.00 120.00
Space group P6/mmm (No. 191)
Symmetry-distinct sites (fractional):
Ba (0.0000, 0.0000, 0.0000) (multiplicity 1)
Ba (0.3333, 0.6667, 0.5000) (multiplicity 2)
Li (0.0000, 0.2972, 0.5000) (multiplicity 6)
Li (0.0000, 0.5000, 0.0000) (multiplicity 3)
Ag (0.1849, 0.3698, 0.0000) (multiplicity 6)

Summary:
Energy of formation from the pure elements in meV per atom: -175
DOS(E_F) in states/eV per atom: 0.420
Calculated volume in Å³ per atom: 24.3
Size of the total moment in μB/f.u.: 0.00

Compound: Ba4LiAg2
Source: the Alexandria database
Functional: PBE
Structure: relaxed

a b c (Å): 5.8044 5.8044 30.3072
angles (deg): 90.00 90.00 120.00
Space group R-3m (No. 166, hexagonal axes)
Symmetry-distinct sites (fractional):
Ba (0.0000, 0.0000, 0.1185) (multiplicity 6)
Ba (0.0000, 0.0000, 0.2926) (multiplicity 6)
Li (0.0000, 0.0000, 0.5000) (multiplicity 3)
Ag (0.0000, 0.0000, 0.4104) (multiplicity 6)

Summary:
Energy of formation from the pure elements in meV per atom: -100
DOS(E_F) in states/eV per atom: 1.061
Calculated volume in Å³ per atom: 42.1
Size of the total moment in μB/f.u.: 0.00

Compound: BaLi6Ag
Source: the Alexandria database
Functional: PBE
Structure: relaxed

a b c (Å): 4.590 4.590 10.162
angles (deg): 90.00 90.00 90.00
Space group P4/mmm (No. 123)
Symmetry-distinct sites (fractional):
Ba (0.000, 0.000, 0.000) (multiplicity 1)
Li (0.000, 0.500, 0.353) (multiplicity 4)
Li (0.500, 0.500, 0.160) (multiplicity 2)
Ag (0.000, 0.000, 0.500) (multiplicity 1)

Summary:
Energy of formation from the pure elements in meV per atom: 42
DOS(E_F) in states/eV per atom: 0.606
Calculated volume in Å³ per atom: 26.8
Size of the total moment in μB/f.u.: 0.00

Compound: BaLi4Ag
Source: the Alexandria database
Functional: PBE
Structure: relaxed

a b c (Å): 8.389 4.506 8.411
angles (deg): 90.00 90.00 90.00
Space group Pmma (No. 51)
Symmetry-distinct sites (fractional):
Ba (0.250, 0.000, 0.098) (multiplicity 2)
Li (0.000, 0.000, 0.500) (multiplicity 2)
Li (0.069, 0.500, 0.764) (multiplicity 4)
Li (0.250, 0.500, 0.476) (multiplicity 2)
Ag (0.250, 0.000, 0.696) (multiplicity 2)

Summary:
Energy of formation from the pure elements in meV per atom: -72
DOS(E_F) in states/eV per atom: 0.601
Calculated volume in Å³ per atom: 26.5
Size of the total moment in μB/f.u.: 0.00

Compound: BaLi3Ag9
Source: the Alexandria database
Functional: PBE
Structure: relaxed

a b c (Å): 5.351 13.979 7.299
angles (deg): 90.00 111.48 90.00
Space group C2/m (No. 12)
Symmetry-distinct sites (fractional):
Ba (0.000, 0.000, 0.000) (multiplicity 2)
Li (0.000, 0.000, 0.500) (multiplicity 2)
Li (0.250, 0.250, 0.000) (multiplicity 4)
Ag (0.000, 0.500, 0.500) (multiplicity 2)
Ag (0.113, 0.381, 0.223) (multiplicity 8)
Ag (0.174, 0.177, 0.357) (multiplicity 8)

Summary:
Energy of formation from the pure elements in meV per atom: -137
DOS(E_F) in states/eV per atom: 0.211
Calculated volume in Å³ per atom: 19.5
Size of the total moment in μB/f.u.: 0.00

Compound: BaLi3Ag3
Source: the Alexandria database
Functional: PBE
Structure: relaxed

a b c (Å): 7.5904 7.5904 19.5137
angles (deg): 90.00 90.00 120.00
Space group R-3m (No. 166, hexagonal axes)
Symmetry-distinct sites (fractional):
Ba (0.0000, 0.0000, 0.1332) (multiplicity 6)
Li (0.0878, 0.5439, 0.3508) (multiplicity 18)
Ag (0.0809, 0.5404, 0.0997) (multiplicity 18)

Summary:
Energy of formation from the pure elements in meV per atom: -129
DOS(E_F) in states/eV per atom: 0.436
Calculated volume in Å³ per atom: 23.2
Size of the total moment in μB/f.u.: 0.00

Compound: Ba4Li5Ag2
Source: the Alexandria database
Functional: PBE
Structure: relaxed

a b c (Å): 8.033 5.142 9.384
angles (deg): 90.00 90.94 90.00
Space group P2/m (No. 10)
Symmetry-distinct sites (fractional):
Ba (0.234, 0.000, 0.139) (multiplicity 2)
Ba (0.237, 0.000, 0.610) (multiplicity 2)
Li (0.125, 0.500, 0.867) (multiplicity 2)
Li (0.444, 0.500, 0.344) (multiplicity 2)
Li (0.500, 0.500, 0.000) (multiplicity 1)
Ag (0.094, 0.500, 0.369) (multiplicity 2)

Summary:
Energy of formation from the pure elements in meV per atom: -51
DOS(E_F) in states/eV per atom: 0.505
Calculated volume in Å³ per atom: 35.2
Size of the total moment in μB/f.u.: 0.00

Compound: BaLiAg
Source: the Alexandria database
Functional: PBE
Structure: relaxed

a b c (Å): 4.698 4.698 8.379
angles (deg): 90.00 90.00 90.00
Space group P4/nmm (No. 129, origin choice 2)
Symmetry-distinct sites (fractional):
Ba (0.250, 0.250, 0.169) (multiplicity 2)
Li (0.250, 0.750, 0.500) (multiplicity 2)
Ag (0.250, 0.250, 0.695) (multiplicity 2)

Summary:
Energy of formation from the pure elements in meV per atom: -185
DOS(E_F) in states/eV per atom: 0.532
Calculated volume in Å³ per atom: 30.8
Size of the total moment in μB/f.u.: 0.00

Compound: BaLi3Ag
Source: the Alexandria database
Functional: PBE
Structure: relaxed

a b c (Å): 5.228 5.228 5.228
angles (deg): 90.00 90.00 90.00
Space group Pm-3m (No. 221)
Symmetry-distinct sites (fractional):
Ba (0.000, 0.000, 0.000) (multiplicity 1)
Li (0.000, 0.500, 0.500) (multiplicity 3)
Ag (0.500, 0.500, 0.500) (multiplicity 1)

Summary:
Energy of formation from the pure elements in meV per atom: -17
DOS(E_F) in states/eV per atom: 0.721
Calculated volume in Å³ per atom: 28.6
Size of the total moment in μB/f.u.: 0.00

Compound: BaLi4Ag4
Source: the Alexandria database
Functional: PBE
Structure: relaxed

a b c (Å): 8.977 8.977 4.837
angles (deg): 90.00 90.00 90.00
Space group I4/m (No. 87)
Symmetry-distinct sites (fractional):
Ba (0.000, 0.000, 0.000) (multiplicity 2)
Li (0.091, 0.385, 0.000) (multiplicity 8)
Ag (0.160, 0.272, 0.500) (multiplicity 8)

Summary:
Energy of formation from the pure elements in meV per atom: -159
DOS(E_F) in states/eV per atom: 0.286
Calculated volume in Å³ per atom: 21.7
Size of the total moment in μB/f.u.: 0.00